Entry 1:
DFT (PBE) results for a relaxed structure of Ce12As3N5.

Cell and atoms, written as POSCAR:
```
Ce12As3N5
1.0
13.518 0.000 0.000
-4.506 12.745 0.000
-4.506 -6.372 11.037
N Ce As
20 48 12
direct
0.750 0.625 0.375
0.375 0.250 0.125
0.250 0.875 0.125
0.125 0.750 0.375
0.500 0.000 0.500
0.875 0.250 0.625
0.750 0.125 0.875
0.250 0.375 0.625
0.000 0.500 0.000
0.375 0.125 0.750
0.625 0.875 0.250
0.000 0.500 0.500
0.500 0.500 0.000
0.125 0.375 0.250
0.000 0.000 0.000
0.625 0.750 0.875
0.000 0.000 0.500
0.500 0.000 0.000
0.875 0.625 0.750
0.500 0.500 0.500
0.019 0.613 0.702
0.907 0.090 0.887
0.702 0.590 0.183
0.093 0.910 0.113
0.387 0.407 0.090
0.981 0.387 0.298
0.683 0.202 0.590
0.981 0.593 0.183
0.593 0.613 0.410
0.887 0.590 0.907
0.113 0.410 0.093
0.410 0.298 0.317
0.613 0.593 0.910
0.798 0.481 0.387
0.407 0.387 0.590
0.817 0.907 0.019
0.019 0.407 0.817
0.113 0.702 0.519
0.887 0.298 0.481
0.407 0.019 0.317
0.090 0.907 0.387
0.410 0.113 0.593
0.481 0.798 0.887
0.519 0.317 0.907
0.798 0.317 0.910
0.683 0.481 0.593
0.817 0.910 0.298
0.202 0.519 0.613
0.387 0.981 0.798
0.183 0.090 0.702
0.481 0.683 0.093
0.202 0.683 0.090
0.519 0.202 0.113
0.593 0.981 0.683
0.298 0.887 0.981
0.090 0.183 0.202
0.093 0.183 0.481
0.298 0.410 0.817
0.183 0.093 0.981
0.590 0.702 0.683
0.910 0.093 0.613
0.910 0.817 0.798
0.317 0.798 0.410
0.907 0.817 0.519
0.613 0.019 0.202
0.702 0.113 0.019
0.317 0.519 0.407
0.590 0.887 0.407
0.625 0.375 0.750
0.625 0.250 0.375
0.750 0.375 0.125
0.375 0.625 0.250
0.875 0.750 0.125
0.875 0.125 0.250
0.750 0.875 0.625
0.125 0.875 0.750
0.250 0.125 0.375
0.375 0.750 0.625
0.125 0.250 0.875
0.250 0.625 0.875
```

Values from the calculation:
E_form (uncorrected) in kJ/mol of formula units: -1903

***

Entry 2:
DFT (PBE) results for a relaxed structure of Hf4ZrIn2.

Cell and atoms, written as POSCAR:
```
Hf4ZrIn2
1.0
-7.170 1.858 -1.275
3.273 -1.801 -6.521
0.363 -5.895 4.648
Hf Zr In
8 2 4
direct
0.968 0.599 0.716
0.631 0.748 0.032
0.633 0.752 0.534
0.284 0.252 0.883
0.782 0.248 0.881
0.119 0.901 0.367
0.466 0.099 0.218
0.117 0.401 0.369
0.750 0.500 0.250
0.000 0.000 0.000
0.250 0.625 0.125
0.375 0.875 0.750
0.875 0.125 0.500
0.500 0.375 0.625
```

Values from the calculation:
Formation enthalpy at 0 K in eV/atom: 0.21